1.
Entry from Alexandria: a relaxed La3Zr5H12 crystal (PBE).

a = 11.083 Å, b = 11.083 Å, c = 11.083 Å
α = 109.47°, β = 109.47°, γ = 109.47°
Atoms (fractional coordinates):
H 0.414 0.370 0.580
H 0.420 0.290 0.334
H 0.210 0.666 0.080
H 0.080 0.914 0.370
H 0.870 0.290 0.456
H 0.956 0.370 0.290
H 0.666 0.456 0.586
H 0.586 0.956 0.666
H 0.370 0.956 0.790
H 0.544 0.210 0.130
H 0.086 0.166 0.456
H 0.630 0.586 0.920
H 0.290 0.420 0.834
H 0.370 0.414 0.080
H 0.710 0.580 0.166
H 0.790 0.334 0.920
H 0.130 0.710 0.544
H 0.044 0.414 0.834
H 0.166 0.086 0.956
H 0.666 0.210 0.580
H 0.920 0.086 0.630
H 0.210 0.544 0.630
H 0.586 0.630 0.420
H 0.920 0.834 0.790
H 0.834 0.914 0.044
H 0.914 0.080 0.870
H 0.334 0.790 0.420
H 0.580 0.870 0.414
H 0.290 0.870 0.956
H 0.710 0.130 0.044
H 0.086 0.920 0.130
H 0.544 0.334 0.914
H 0.080 0.166 0.210
H 0.130 0.420 0.086
H 0.456 0.666 0.086
H 0.044 0.630 0.710
H 0.956 0.586 0.166
H 0.414 0.044 0.334
H 0.870 0.580 0.914
H 0.456 0.790 0.870
H 0.914 0.834 0.544
H 0.790 0.456 0.370
H 0.580 0.710 0.666
H 0.166 0.080 0.710
H 0.630 0.044 0.210
H 0.420 0.130 0.586
H 0.334 0.544 0.414
H 0.834 0.920 0.290
Zr 0.625 0.750 0.875
Zr 0.625 0.875 0.250
Zr 0.000 0.500 0.000
Zr 0.125 0.750 0.375
Zr 0.250 0.375 0.625
Zr 0.500 0.000 0.000
Zr 0.250 0.875 0.125
Zr 0.750 0.625 0.375
Zr 0.500 0.500 0.000
Zr 0.125 0.375 0.250
Zr 0.000 0.500 0.500
Zr 0.375 0.125 0.750
Zr 0.500 0.500 0.500
Zr 0.500 0.000 0.500
Zr 0.750 0.125 0.875
Zr 0.375 0.250 0.125
Zr 0.000 0.000 0.500
Zr 0.875 0.625 0.750
Zr 0.000 0.000 0.000
Zr 0.875 0.250 0.625
La 0.250 0.125 0.375
La 0.125 0.250 0.875
La 0.125 0.875 0.750
La 0.750 0.875 0.625
La 0.625 0.250 0.375
La 0.375 0.625 0.250
La 0.750 0.375 0.125
La 0.375 0.750 0.625
La 0.250 0.625 0.875
La 0.625 0.375 0.750
La 0.875 0.125 0.250
La 0.875 0.750 0.125

Calculated values
mass density	5.608	g cm⁻³
E	-5.28	eV/atom
total moment	0.000	μB/atom

=====

2.
Entry from Alexandria: a relaxed LaZr2H2 crystal (PBE).

a = 3.926 Å, b = 3.926 Å, c = 6.470 Å
α = 72.34°, β = 72.34°, γ = 90.00°
Atoms (fractional coordinates):
H 0.750 0.250 0.500
H 0.250 0.750 0.500
Zr 0.308 0.308 0.383
Zr 0.692 0.692 0.617
La 0.000 0.000 0.000

Calculated values
mass density	5.961	g cm⁻³
E	-5.89	eV/atom
total moment	0.000	μB/atom

=====

3.
Entry from Alexandria: a relaxed LaZr2H crystal (PBE).

a = 4.890 Å, b = 4.890 Å, c = 4.890 Å
α = 60.00°, β = 60.00°, γ = 60.00°
Atoms (fractional coordinates):
La 0.500 0.500 0.500
Zr 0.250 0.250 0.250
Zr 0.750 0.750 0.750
H 0.000 0.000 0.000

Calculated values
mass density	6.475	g cm⁻³
relative energy among the computed polymorphs	973	meV/atom
E	-5.35	eV/atom
total moment	0.000	μB/atom

=====

4.
Entry from Alexandria: a relaxed LaZr3H crystal (PBE).

a = 4.680 Å, b = 4.680 Å, c = 4.680 Å
α = 90.00°, β = 90.00°, γ = 90.00°
Atoms (fractional coordinates):
Zr 0.500 0.000 0.000
Zr 0.000 0.500 0.000
Zr 0.000 0.000 0.500
H 0.000 0.000 0.000
La 0.500 0.500 0.500

Calculated values
mass density	6.701	g cm⁻³
relative energy among the computed polymorphs	0	meV/atom
E	-6.76	eV/atom
total moment	0.000	μB/atom

=====

5.
Entry from Alexandria: a relaxed LaZr3H crystal (PBE).

a = 5.213 Å, b = 5.213 Å, c = 5.213 Å
α = 90.00°, β = 90.00°, γ = 90.00°
Atoms (fractional coordinates):
Zr 0.000 0.500 0.000
Zr 0.500 0.000 0.000
Zr 0.000 0.000 0.500
H 0.500 0.500 0.500
La 0.000 0.000 0.000

Calculated values
mass density	4.848	g cm⁻³
relative energy among the computed polymorphs	1913	meV/atom
E	-4.85	eV/atom
total moment	0.000	μB/atom

=====

6.
Entry from Alexandria: a relaxed Li2H crystal (PBE).

a = 4.093 Å, b = 4.093 Å, c = 5.047 Å
α = 113.92°, β = 113.92°, γ = 90.00°
Atoms (fractional coordinates):
Li 0.523 0.023 0.046
Li 0.773 0.773 0.546
Li 0.227 0.227 0.454
Li 0.977 0.477 0.954
H 0.750 0.250 0.500
H 0.000 0.000 0.000

Calculated values
mass density	0.714	g cm⁻³
relative energy among the computed polymorphs	10	meV/atom
E	-2.62	eV/atom
total moment	0.000	μB/atom